Record 1
# CdFeMo

CdFeMo after structural relaxation (PBE, Alexandria via LeMat-Bulk).

- electronic total energy (eV per atom) = -6.017
- N(E_F) (states/eV per cell) = 2.0
- volume (A^3/atom) = 17.5

abc: 4.202 4.202 4.202
angles: 60.00 60.00 60.00
Fractional positions:
1 Cd 0.000 0.000 0.000
2 Fe 0.250 0.250 0.250
3 Mo 0.500 0.500 0.500


Record 2
# Cd2FeMo

Cd2FeMo after structural relaxation (PBE, Alexandria via LeMat-Bulk).

- electronic total energy (eV per atom) = -4.787
- N(E_F) (states/eV per cell) = 2.7
- volume (A^3/atom) = 17.0

abc: 2.727 4.585 5.596
angles: 90.00 103.07 90.00
Fractional positions:
1 Cd 0.065 0.000 0.256
2 Cd 0.935 0.000 0.744
3 Fe 0.500 0.500 0.500
4 Mo 0.500 0.500 0.000


Record 3
# CdFeMo4

CdFeMo4 after structural relaxation (PBE, Alexandria via LeMat-Bulk).

- electronic total energy (eV per atom) = -8.259
- N(E_F) (states/eV per cell) = 2.6
- volume (A^3/atom) = 16.9

abc: 5.235 5.235 5.235
angles: 60.00 60.00 60.00
Fractional positions:
1 Cd 0.000 0.000 0.000
2 Fe 0.750 0.750 0.750
3 Mo 0.375 0.375 0.375
4 Mo 0.375 0.375 0.875
5 Mo 0.375 0.875 0.375
6 Mo 0.875 0.375 0.375


Record 4
# Cd2FeMo

Cd2FeMo after structural relaxation (PBE, Alexandria via LeMat-Bulk).

- electronic total energy (eV per atom) = -4.821
- N(E_F) (states/eV per cell) = 2.3
- volume (A^3/atom) = 17.1

abc: 4.815 4.815 5.406
angles: 95.79 95.79 33.30
Fractional positions:
1 Cd 0.000 0.000 0.000
2 Cd 0.246 0.246 0.747
3 Fe 0.746 0.746 0.285
4 Mo 0.496 0.496 0.470


Record 5
# CdFe2Mo

CdFe2Mo after structural relaxation (PBE, Alexandria via LeMat-Bulk).

- electronic total energy (eV per atom) = -6.738
- N(E_F) (states/eV per cell) = 3.9
- volume (A^3/atom) = 15.0

abc: 4.624 4.624 5.172
angles: 94.80 94.80 33.13
Fractional positions:
1 Cd 0.000 0.000 0.000
2 Fe 0.251 0.251 0.723
3 Fe 0.749 0.749 0.277
4 Mo 0.500 0.500 0.500


Record 6
# CdFe2Mo

CdFe2Mo after structural relaxation (PBE, Alexandria via LeMat-Bulk).

- electronic total energy (eV per atom) = -6.789
- N(E_F) (states/eV per cell) = 3.2
- volume (A^3/atom) = 14.6

abc: 5.271 5.271 5.271
angles: 148.47 129.62 60.65
Fractional positions:
1 Cd 0.000 0.000 0.000
2 Fe 0.262 0.762 0.500
3 Fe 0.474 0.474 0.000
4 Mo 0.718 0.218 0.500


Record 7
# CdFeMo

CdFeMo after structural relaxation (PBE, Alexandria via LeMat-Bulk).

- electronic total energy (eV per atom) = -6.397
- N(E_F) (states/eV per cell) = 1.9
- volume (A^3/atom) = 16.0

abc: 7.153 6.987 2.726
angles: 82.33 75.48 22.19
Fractional positions:
1 Cd 0.000 0.000 0.000
2 Fe 0.330 0.330 0.670
3 Mo 0.686 0.686 0.314


Record 8
# Cd2FeMo

Cd2FeMo after structural relaxation (PBE, Alexandria via LeMat-Bulk).

- electronic total energy (eV per atom) = -5.058
- N(E_F) (states/eV per cell) = 2.0
- volume (A^3/atom) = 17.0

abc: 2.953 2.953 7.799
angles: 90.00 90.00 90.00
Fractional positions:
1 Cd 0.000 0.000 0.000
2 Cd 0.500 0.500 0.307
3 Fe 0.000 0.000 0.554
4 Mo 0.500 0.500 0.719


- N(E_F) of number 3 (CdFeMo4)?
  2.6 states/eV per cell